1.
! GGA-PBE NdEr2Zn2Ge2, optimized geometry; values from VASP
&SYSTEM
  ibrav = 0, nat = 7, ntyp = 4
/
ATOMIC_SPECIES
Ge 72.64 Ge.upf
Zn 65.41 Zn.upf
Nd 144.24 Nd.upf
Er 167.26 Er.upf
ATOMIC_POSITIONS crystal
Ge 0.7369 0.7369 0.7892
Ge 0.2631 0.2631 0.2108
Zn 0.6066 0.6066 0.1801
Nd 0.0000 0.0000 0.0000
Er 0.1246 0.1246 0.6261
Zn 0.3934 0.3934 0.8199
Er 0.8754 0.8754 0.3739
CELL_PARAMETERS angstrom
4.1469 0.0000 0.0000
2.0734 3.5913 0.0000
2.0734 1.1971 11.1468
! * formation energy: -444 meV/atom
! * SG: No. 166
! * crystal system: trigonal
! * total moment: 0.000 Bohr magnetons per cell
! * electronic total energy: -4.112 eV per atom


2.
! GGA-PBE TmBe2Fe2C, optimized geometry; values from VASP
&SYSTEM
  ibrav = 0, nat = 6, ntyp = 4
/
ATOMIC_SPECIES
Fe 55.84 Fe.upf
C 12.01 C.upf
Be 9.01 Be.upf
Tm 168.93 Tm.upf
ATOMIC_POSITIONS crystal
Fe 0.5000 0.0000 0.0000
C 0.0000 0.0000 0.0000
Be 0.5000 0.5000 0.7383
Fe 0.0000 0.5000 0.0000
Be 0.5000 0.5000 0.2617
Tm 0.0000 0.0000 0.5000
CELL_PARAMETERS angstrom
3.7300 0.0000 0.0000
0.0000 3.7300 0.0000
0.0000 0.0000 4.9541
! * formation energy: -264 meV/atom
! * SG: No. 123
! * crystal system: tetragonal
! * total moment: 0.000 Bohr magnetons per cell
! * electronic total energy: -6.609 eV per atom


3.
! GGA-PBE NaLi2ICl8, optimized geometry; values from VASP
&SYSTEM
  ibrav = 0, nat = 12, ntyp = 4
/
ATOMIC_SPECIES
Cl 35.45 Cl.upf
Li 6.94 Li.upf
Na 22.99 Na.upf
I 126.90 I.upf
ATOMIC_POSITIONS crystal
Cl 0.6556 0.6954 0.5631
Cl 0.1879 0.8465 0.8678
Li 0.4906 0.6499 0.3237
Na 0.0000 0.0000 0.5000
Li 0.5094 0.3501 0.6763
Cl 0.3444 0.3046 0.4369
Cl 0.2860 0.3223 0.9005
Cl 0.7140 0.6777 0.0995
Cl 0.7858 0.1375 0.7216
Cl 0.8121 0.1535 0.1322
Cl 0.2142 0.8625 0.2784
I 0.0000 0.0000 0.0000
CELL_PARAMETERS angstrom
6.3354 -0.8250 -0.3451
-0.8260 7.2490 1.4551
-0.4443 2.0025 8.4060
! * SG: No. 2
! * crystal system: triclinic
! * total moment: 0.129 Bohr magnetons per cell
! * electronic total energy: -2.707 eV per atom
! * uncorrected formation energy: -0.918 eV/atom


4.
! GGA-PBE BaCuRe4, optimized geometry; values from VASP
&SYSTEM
  ibrav = 0, nat = 6, ntyp = 3
/
ATOMIC_SPECIES
Cu 63.55 Cu.upf
Re 186.21 Re.upf
Ba 137.33 Ba.upf
ATOMIC_POSITIONS crystal
Cu 0.0000 0.0000 0.0000
Re 0.3741 0.3741 0.3741
Ba 0.7500 0.7500 0.7500
Re 0.8777 0.3741 0.3741
Re 0.3741 0.3741 0.8777
Re 0.3741 0.8777 0.3741
CELL_PARAMETERS angstrom
0.0000 3.8401 3.8401
3.8401 0.0000 3.8401
3.8401 3.8401 0.0000
! * formation energy: 1013 meV/atom
! * SG: No. 216
! * crystal system: cubic
! * total moment: 0.000 Bohr magnetons per cell
! * electronic total energy: -8.289 eV per atom


5.
! GGA-PBE LuThRu2, optimized geometry; values from VASP
&SYSTEM
  ibrav = 0, nat = 4, ntyp = 3
/
ATOMIC_SPECIES
Th 232.04 Th.upf
Lu 174.97 Lu.upf
Ru 101.07 Ru.upf
ATOMIC_POSITIONS crystal
Th 0.5000 0.5000 0.5000
Lu 0.5000 0.0000 0.0000
Ru 0.0000 0.5000 0.0000
Ru 0.0000 0.0000 0.5000
CELL_PARAMETERS angstrom
-2.7201 -1.8435 -1.0966
2.5962 -1.5680 -3.8039
1.5280 -3.8088 2.6128
! * formation energy: -493 meV/atom
! * SG: No. 123
! * crystal system: tetragonal
! * total moment: 0.000 Bohr magnetons per cell
! * electronic total energy: -8.116 eV per atom


6.
! GGA-PBE BaFe2Cl, optimized geometry; values from VASP
&SYSTEM
  ibrav = 0, nat = 4, ntyp = 3
/
ATOMIC_SPECIES
Cl 35.45 Cl.upf
Fe 55.84 Fe.upf
Ba 137.33 Ba.upf
ATOMIC_POSITIONS crystal
Cl 0.0000 0.0000 0.0000
Fe 0.7500 0.7500 0.7500
Ba 0.5000 0.5000 0.5000
Fe 0.2500 0.2500 0.2500
CELL_PARAMETERS angstrom
0.0000 3.6718 3.6718
3.6718 0.0000 3.6718
3.6718 3.6718 0.0000
! * SG: No. 225
! * crystal system: cubic
! * total moment: 6.841 Bohr magnetons per cell
! * electronic total energy: -4.233 eV per atom
! * uncorrected formation energy: 0.940 eV/atom


7.
! GGA-PBE SmMg2MoN4, optimized geometry; values from VASP
&SYSTEM
  ibrav = 0, nat = 16, ntyp = 4
/
ATOMIC_SPECIES
Mo 95.94 Mo.upf
Mg 24.30 Mg.upf
Sm 150.36 Sm.upf
N 14.01 N.upf
ATOMIC_POSITIONS crystal
Mo 0.8087 0.6175 0.7500
Mg 0.3910 0.7820 0.5310
Mg 0.6090 0.2180 0.4690
Sm 0.0701 0.1403 0.7500
N 0.0000 0.0000 0.0000
Mg 0.6090 0.2180 0.0310
N 0.5827 0.1653 0.2500
Mo 0.1913 0.3825 0.2500
N 0.2859 0.5717 0.1206
Mg 0.3910 0.7820 0.9690
N 0.7141 0.4283 0.6206
N 0.0000 0.0000 0.5000
Sm 0.9299 0.8597 0.2500
N 0.4173 0.8347 0.7500
N 0.2859 0.5717 0.3794
N 0.7141 0.4283 0.8794
CELL_PARAMETERS angstrom
3.2809 0.0000 0.0000
-1.6404 5.9489 0.0000
0.0000 0.0000 10.8581
! * SG: No. 63
! * crystal system: orthorhombic
! * total moment: 0.000 Bohr magnetons per cell
! * electronic total energy: -7.220 eV per atom
! * uncorrected formation energy: -0.715 eV/atom


8.
! GGA-PBE Pr2ScPb9, optimized geometry; values from VASP
&SYSTEM
  ibrav = 0, nat = 12, ntyp = 3
/
ATOMIC_SPECIES
Pb 207.20 Pb.upf
Pr 140.91 Pr.upf
Sc 44.96 Sc.upf
ATOMIC_POSITIONS crystal
Pb 0.5000 0.0000 0.5000
Pb 0.0000 0.5000 0.8427
Pr 0.0000 0.0000 0.6692
Pb 0.5000 0.5000 0.0000
Pb 0.5000 0.0000 0.8427
Sc 0.0000 0.0000 0.0000
Pb 0.5000 0.0000 0.1573
Pr 0.0000 0.0000 0.3308
Pb 0.5000 0.5000 0.3290
Pb 0.0000 0.5000 0.5000
Pb 0.5000 0.5000 0.6710
Pb 0.0000 0.5000 0.1573
CELL_PARAMETERS angstrom
-4.1364 0.9027 -2.5070
2.3346 -1.0034 -4.2134
-3.8109 -14.0409 1.2323
! * formation energy: -299 meV/atom
! * SG: No. 123
! * crystal system: tetragonal
! * total moment: 0.000 Bohr magnetons per cell
! * electronic total energy: -4.404 eV per atom